(1)
Entry from OQMD: a geometry-optimized CoO2 structure (PBE+U).

Cell lengths 2.647, 2.640, 6.303 Å; angles 52.87, 90.00, 90.00 degrees
Fractional coordinates of all 3 atoms:
O 0.500 0.154 0.740
O 0.500 0.846 0.260
Co 0.500 0.000 0.500

DFT total energy = -15.0 eV per formula unit
Size of the total moment = 0.90 Bohr magnetons per cell

(2)
Entry from OQMD: a geometry-optimized CoO2 structure (PBE+U).

Cell lengths 4.980, 4.980, 8.172 Å; angles 90.00, 90.00, 122.73 degrees
Fractional coordinates of all 12 atoms:
Co 0.173 0.522 0.927
Co 0.522 0.173 0.073
O 0.201 0.826 0.438
Co 0.478 0.827 0.573
O 0.799 0.174 0.938
O 0.826 0.201 0.562
O 0.174 0.799 0.062
O 0.458 0.458 0.000
O 0.542 0.542 0.500
Co 0.827 0.478 0.427
O 0.260 0.740 0.750
O 0.740 0.260 0.250

DFT total energy = -15.9 eV per formula unit
Size of the total moment = 0.20 Bohr magnetons per cell

(3)
Entry from OQMD: a geometry-optimized CoO2 structure (PBE+U).

Cell lengths 5.602, 5.602, 5.602 Å; angles 60.00, 60.00, 60.00 degrees
Fractional coordinates of all 6 atoms:
Co 0.250 0.250 0.250
O 0.375 0.875 0.375
O 0.875 0.375 0.375
Co 0.500 0.500 0.500
O 0.375 0.375 0.375
O 0.375 0.375 0.875

DFT total energy = -16.2 eV per formula unit
Size of the total moment = 5.57 Bohr magnetons per cell

(4)
Entry from OQMD: a geometry-optimized Co2O3 structure (PBE+U).

Cell lengths 3.653, 3.653, 3.653 Å; angles 90.00, 90.00, 90.00 degrees
Fractional coordinates of all 5 atoms:
Co 0.000 0.000 0.000
Co 0.500 0.500 0.500
O 0.000 0.500 0.500
O 0.500 0.500 0.000
O 0.500 0.000 0.500

DFT total energy = -25.5 eV per formula unit
Size of the total moment = 0.45 Bohr magnetons per cell

(5)
Entry from OQMD: a geometry-optimized CoO2 structure (PBE+U).

Cell lengths 5.175, 5.175, 6.135 Å; angles 90.00, 90.00, 120.00 degrees
Fractional coordinates of all 9 atoms:
O 0.190 0.810 0.833
Co 0.500 0.500 0.333
Co 0.000 0.500 0.667
O 0.810 0.620 0.500
Co 0.500 0.000 0.000
O 0.620 0.810 0.167
O 0.810 0.190 0.833
O 0.190 0.380 0.500
O 0.380 0.190 0.167

DFT total energy = -16.1 eV per formula unit
Size of the total moment = 9.01 Bohr magnetons per cell

(6)
Entry from OQMD: a geometry-optimized CoO structure (PBE+U).

Cell lengths 3.011, 3.011, 3.011 Å; angles 59.98, 59.98, 59.98 degrees
Fractional coordinates of all 2 atoms:
O 0.500 0.500 0.500
Co 0.000 0.000 0.000

DFT total energy = -11.5 eV per formula unit
Size of the total moment = 3.00 Bohr magnetons per cell

(7)
Entry from OQMD: a geometry-optimized CoO2 structure (PBE+U).

Cell lengths 4.877, 4.877, 4.877 Å; angles 121.52, 121.52, 87.38 degrees
Fractional coordinates of all 6 atoms:
O 0.685 0.625 0.560
O 0.875 0.315 0.940
Co 0.000 0.000 0.000
O 0.375 0.935 0.060
Co 0.750 0.250 0.500
O 0.065 0.125 0.440

DFT total energy = -16.0 eV per formula unit
Size of the total moment = 0.14 Bohr magnetons per cell

(8)
Entry from OQMD: a geometry-optimized CoO structure (PBE+U).

Cell lengths 3.854, 2.620, 3.575 Å; angles 90.00, 90.00, 90.00 degrees
Fractional coordinates of all 4 atoms:
O 0.250 0.500 0.750
O 0.750 0.500 0.250
Co 0.750 0.000 0.750
Co 0.250 0.000 0.250

DFT total energy = -11.2 eV per formula unit
Size of the total moment = 6.00 Bohr magnetons per cell

(9)
Entry from OQMD: a geometry-optimized Co2O5 structure (PBE+U).

Cell lengths 4.764, 4.881, 4.465 Å; angles 101.61, 100.65, 120.65 degrees
Fractional coordinates of all 7 atoms:
O 0.939 0.575 0.242
Co 0.867 0.173 0.012
O 0.572 0.957 0.204
O 0.033 0.409 0.762
O 0.795 0.792 0.755
O 0.236 0.222 0.243
Co 0.138 0.809 0.009

DFT total energy = -35.8 eV per formula unit
Size of the total moment = 4.00 Bohr magnetons per cell

(10)
Entry from OQMD: a geometry-optimized Co2O3 structure (PBE+U).

Cell lengths 4.756, 4.756, 6.670 Å; angles 90.00, 90.00, 146.13 degrees
Fractional coordinates of all 10 atoms:
O 0.911 0.089 0.750
O 0.639 0.361 0.556
O 0.361 0.639 0.444
O 0.639 0.361 0.944
O 0.361 0.639 0.056
Co 0.258 0.742 0.750
Co 0.000 0.000 0.000
O 0.089 0.911 0.250
Co 0.000 0.000 0.500
Co 0.742 0.258 0.250

DFT total energy = -28.7 eV per formula unit
Size of the total moment = 7.63 Bohr magnetons per cell

(11)
Entry from OQMD: a geometry-optimized CoO structure (PBE+U).

Cell lengths 3.172, 3.172, 4.423 Å; angles 90.00, 90.00, 104.39 degrees
Fractional coordinates of all 4 atoms:
Co 0.701 0.299 0.232
O 0.292 0.708 0.268
O 0.708 0.292 0.768
Co 0.299 0.701 0.732

DFT total energy = -11.9 eV per formula unit
Size of the total moment = 6.01 Bohr magnetons per cell

(12)
Entry from OQMD: a geometry-optimized CoO structure (PBE+U).

Cell lengths 2.622, 2.622, 2.622 Å; angles 90.00, 90.00, 90.00 degrees
Fractional coordinates of all 2 atoms:
O 0.500 0.500 0.500
Co 0.000 0.000 0.000

DFT total energy = -11.2 eV per formula unit
Size of the total moment = 3.00 Bohr magnetons per cell